A relaxed structure of Li4V3SiO10. Source: Alexandria, functional PBE with a Hubbard U.

Computed properties:
**Magnetization**: 0.167 μB/atom
**E_tot**: -124.0 eV for the cell shown

Lattice parameters (Å, degrees): 5.1086 6.0623 8.3072 90.53 107.77 90.20
Space group P1 (No. 1)
Asymmetric unit:
Li 0.0000 0.0000 0.0000
Li 0.1070 0.6954 0.2224
Li 0.4973 0.6806 0.9890
Li 0.6118 0.0039 0.2092
V 0.4000 0.1676 0.7987
V 0.6868 0.5041 0.3843
V 0.9126 0.5030 0.8191
Si 0.1870 0.1888 0.3744
O 0.0111 0.0074 0.2417
O 0.0276 0.4330 0.3516
O 0.2461 0.1114 0.5726
O 0.2792 0.4472 0.8455
O 0.3682 0.9912 0.9555
O 0.4878 0.2337 0.3402
O 0.5061 0.6846 0.2309
O 0.7443 0.5872 0.6012
O 0.7764 0.2253 0.8484
O 0.8783 0.6782 0.9778